(1)
The following is a DFT calculation (PBE-GGA) of crystalline KP4H7 at its relaxed geometry.

Cell and atoms, written as POSCAR:
```
KP4H7
1.0
-3.800 4.522 -1.329
-10.870 5.453 5.117
5.868 1.252 0.512
K P H
1 4 7
Direct
0.055 0.938 0.927
0.443 0.179 0.623
0.507 0.895 0.682
0.406 0.303 0.464
0.636 0.682 0.197
0.276 0.475 0.751
0.983 0.571 0.155
0.676 0.546 0.144
0.096 0.364 0.331
0.111 0.253 0.602
0.551 0.013 0.327
0.761 0.781 0.797
```

Results
uncorrected energy	-47.42	eV per cell
N(E_F)	0.00	states/eV/cell


(2)
The following is a DFT calculation (PBE-GGA) of crystalline K3PH5 at its relaxed geometry.

Cell and atoms, written as POSCAR:
```
K3PH5
1.0
-2.245 7.334 -1.763
-2.771 -2.513 -6.924
-2.536 -3.384 6.716
K P H
6 2 10
Direct
0.716 0.216 0.000
0.284 0.784 0.000
0.784 0.716 0.000
0.216 0.284 0.000
0.250 0.250 0.500
0.750 0.750 0.500
0.750 0.250 0.500
0.250 0.750 0.500
0.953 0.453 0.820
0.867 0.367 0.820
0.367 0.953 0.820
0.453 0.867 0.820
0.047 0.547 0.180
0.133 0.633 0.180
0.633 0.047 0.180
0.547 0.133 0.180
0.500 0.500 0.000
0.000 0.000 0.000
```

Results
uncorrected energy	-47.75	eV per cell
N(E_F)	5.94	states/eV/cell